A plane-wave DFT calculation with PBE was carried out for crystalline CuBr at its relaxed geometry.

Cell and atoms, written as POSCAR:
```
CuBr
1.0
-2.9456 0.0174 -2.5262
0.9870 -3.5589 -1.1754
-3.9288 -2.5966 4.5631
Cu Br
2 2
direct
0.5000 0.0000 0.4158
0.0000 0.5000 0.4176
0.0000 0.0000 0.1699
0.5000 0.5000 0.6635
```

## Properties
Raw formation energy (eV/atom): -0.24

=====

A plane-wave DFT calculation with PBE was carried out for crystalline AlCuW at its relaxed geometry.

Cell and atoms, written as POSCAR:
```
AlCuW
1.0
-2.4517 2.4335 2.4458
-1.7593 -2.8261 -2.6140
0.0983 -1.9118 2.0008
Al W Cu
1 1 1
direct
0.0000 0.0000 0.1669
0.6667 0.3333 0.6669
0.3333 0.6667 0.1662
```

=====

A plane-wave DFT calculation with PBE was carried out for crystalline TaIn2Rh at its relaxed geometry.

Cell and atoms, written as POSCAR:
```
TaIn2Rh
1.0
-2.9602 -3.5025 -1.7599
0.1575 -2.3099 4.3321
-2.4523 1.5994 0.9420
Rh In Ta
1 2 1
direct
0.5000 0.5000 0.5000
0.5000 0.0000 0.0000
0.0000 0.5000 0.0000
0.0000 0.0000 0.5000
```

=====

A plane-wave DFT calculation with PBE was carried out for crystalline Ac2GaP3 at its relaxed geometry.

Cell and atoms, written as POSCAR:
```
Ac2GaP3
1.0
6.5480 0.0000 0.4873
3.2740 6.6532 0.2437
0.0133 0.0000 14.5399
Ga Ac P
4 8 12
direct
0.2740 0.0058 0.3436
0.2798 0.9942 0.8436
0.7260 0.9942 0.6564
0.7202 0.0058 0.1564
0.5613 0.4167 0.3422
0.6548 0.2005 0.9281
0.0220 0.4167 0.1578
0.8552 0.7995 0.4281
0.1448 0.2005 0.5719
0.3452 0.7995 0.0719
0.4387 0.5833 0.6578
0.9780 0.5833 0.8422
0.1208 0.3635 0.3689
0.0216 0.9569 0.7500
0.9784 0.0431 0.2500
0.5157 0.3635 0.1311
0.1343 0.2062 0.9746
0.4843 0.6365 0.8689
0.8657 0.7938 0.0254
0.6595 0.2062 0.5254
0.8792 0.6365 0.6311
0.3405 0.7938 0.4746
0.6015 0.7970 0.2500
0.3985 0.2030 0.7500
```

=====

A plane-wave DFT calculation with PBE was carried out for crystalline Cu4Ni4Rh at its relaxed geometry.

Cell and atoms, written as POSCAR:
```
Cu4Ni4Rh
1.0
3.3872 0.0000 1.1471
1.6936 5.4288 0.5735
-0.0478 0.0000 5.7155
Cu Rh Ni
4 1 4
direct
0.0000 0.3347 0.6653
0.0000 0.6653 0.3347
0.3347 0.6653 0.6653
0.6653 0.3347 0.3347
0.0000 0.0000 0.0000
0.6680 0.6640 0.0000
0.3320 0.0000 0.3360
0.3320 0.3360 0.0000
0.6680 0.0000 0.6640
```

=====

A plane-wave DFT calculation with PBE was carried out for crystalline Ac2TbPm at its relaxed geometry.

Cell and atoms, written as POSCAR:
```
Ac2TbPm
1.0
3.7313 0.0000 0.0000
1.8656 3.2314 0.0000
1.8656 1.0771 13.1455
Tb Ac Pm
1 2 1
direct
0.0000 0.0000 0.0000
0.0879 0.0879 0.7362
0.9121 0.9121 0.2638
0.5000 0.5000 0.5000
```

=====

| no. | uncorrected energy (eV per atom) |
| --- | --- |
| 1 | -3.122 |
| 2 | -6.794 |
| 3 | -6.080 |
| 4 | -5.612 |
| 5 | -5.160 |
| 6 | -4.165 |